An optimized crystal structure of Sr4CdPb2. Source: the Alexandria database, functional PBE-GGA.

The structure in POSCAR format:
```
Sr4CdPb2
1.0
-1.520 -1.331 5.398
4.030 -0.490 4.091
-0.076 8.523 5.157
Sr Cd Pb
4 1 2
Direct
0.875 0.875 0.374
0.125 0.125 0.626
0.625 0.625 0.125
0.375 0.375 0.875
0.000 0.000 0.000
0.751 0.751 0.747
0.249 0.249 0.253
```

Summary:
As for the total magnetization: 0.000 μB/atom. The calculation puts the formation energy at -0.50 eV per atom. The calculation puts the volume at 38.59 A^3/atom.